Entry 1:
This record from Alexandria via LeMat-Bulk describes KPPt at its PBEsol-relaxed geometry. The functional is SCAN.

```
data_KPPt
_symmetry_space_group_name_H-M 'F -4 3 m'
_symmetry_Int_Tables_number 216
_symmetry_space_group_name_Hall 'F -4 2 3'
_cell_length_a 6.5307
_cell_length_b 6.5307
_cell_length_c 6.5307
_cell_angle_alpha 90.00
_cell_angle_beta 90.00
_cell_angle_gamma 90.00
loop_
_atom_site_label
_atom_site_type_symbol
_atom_site_fract_x
_atom_site_fract_y
_atom_site_fract_z
K1 K 0.0000 0.0000 0.0000
P1 P 0.2500 0.2500 0.7500
Pt1 Pt 0.2500 0.2500 0.2500
```


Entry 2:
This record from Alexandria via LeMat-Bulk describes KPPt at its PBEsol-relaxed geometry. The functional is SCAN.

```
data_KPPt
_symmetry_space_group_name_H-M 'P -6 m 2'
_symmetry_Int_Tables_number 187
_symmetry_space_group_name_Hall 'P -6 2'
_cell_length_a 3.9429
_cell_length_b 3.9429
_cell_length_c 5.2175
_cell_angle_alpha 90.00
_cell_angle_beta 90.00
_cell_angle_gamma 120.00
loop_
_atom_site_label
_atom_site_type_symbol
_atom_site_fract_x
_atom_site_fract_y
_atom_site_fract_z
K1 K 0.0000 0.0000 0.0000
P1 P 0.3333 0.6667 0.5000
Pt1 Pt 0.6667 0.3333 0.5000
```


Entry 3:
This record from Alexandria via LeMat-Bulk describes K2PPt at its PBEsol-relaxed geometry. The functional is SCAN.

```
data_K2PPt
_symmetry_space_group_name_H-M 'P -6 m 2'
_symmetry_Int_Tables_number 187
_symmetry_space_group_name_Hall 'P -6 2'
_cell_length_a 5.6027
_cell_length_b 5.6027
_cell_length_c 4.3796
_cell_angle_alpha 90.00
_cell_angle_beta 90.00
_cell_angle_gamma 120.00
loop_
_atom_site_label
_atom_site_type_symbol
_atom_site_fract_x
_atom_site_fract_y
_atom_site_fract_z
K1 K 0.0000 0.0000 0.0000
K2 K 0.3333 0.6667 0.5000
P1 P 0.6667 0.3333 0.0000
Pt1 Pt 0.6667 0.3333 0.5000
```


Entry 4:
This record from Alexandria via LeMat-Bulk describes KPPt2 at its PBEsol-relaxed geometry. The functional is SCAN.

```
data_KPPt2
_symmetry_space_group_name_H-M 'I -4 m 2'
_symmetry_Int_Tables_number 119
_symmetry_space_group_name_Hall 'I -4 -2'
_cell_length_a 4.0052
_cell_length_b 4.0052
_cell_length_c 8.4522
_cell_angle_alpha 90.00
_cell_angle_beta 90.00
_cell_angle_gamma 90.00
loop_
_atom_site_label
_atom_site_type_symbol
_atom_site_fract_x
_atom_site_fract_y
_atom_site_fract_z
K1 K 0.0000 0.0000 0.0000
P1 P 0.0000 0.5000 0.2500
Pt1 Pt 0.0000 0.0000 0.5000
Pt2 Pt 0.0000 0.5000 0.7500
```


Entry 5:
This record from Alexandria via LeMat-Bulk describes KPPt2 at its PBEsol-relaxed geometry. The functional is SCAN.

```
data_KPPt2
_symmetry_space_group_name_H-M 'P 4/m m m'
_symmetry_Int_Tables_number 123
_symmetry_space_group_name_Hall '-P 4 2'
_cell_length_a 4.1098
_cell_length_b 4.1098
_cell_length_c 3.9797
_cell_angle_alpha 90.00
_cell_angle_beta 90.00
_cell_angle_gamma 90.00
loop_
_atom_site_label
_atom_site_type_symbol
_atom_site_fract_x
_atom_site_fract_y
_atom_site_fract_z
K1 K 0.0000 0.0000 0.0000
P1 P 0.5000 0.5000 0.0000
Pt1 Pt 0.0000 0.5000 0.5000
```


Entry 6:
This record from Alexandria via LeMat-Bulk describes K2PPt at its PBEsol-relaxed geometry. The functional is SCAN.

```
data_K2PPt
_symmetry_space_group_name_H-M 'I 41/a m d'
_symmetry_Int_Tables_number 141
_cell_length_a 12.3312
_cell_length_b 12.3312
_cell_length_c 4.3804
_cell_angle_alpha 90.00
_cell_angle_beta 90.00
_cell_angle_gamma 90.00
loop_
_symmetry_equiv_pos_as_xyz
'x,y,z'
'-x,-y,-z'
'-y+1/4,x+3/4,z+1/4'
'y+1/4,-x+3/4,-z+1/4'
'-x+1/2,-y,z+1/2'
'x+1/2,y,-z+1/2'
'y+1/4,-x+1/4,z+3/4'
'-y+1/4,x+1/4,-z+3/4'
'x,-y,-z'
'-x,y,z'
'-y+1/4,-x+1/4,-z+3/4'
'y+1/4,x+1/4,z+3/4'
'-x+1/2,y,-z+1/2'
'x+1/2,-y,z+1/2'
'y+1/4,x+3/4,-z+1/4'
'-y+1/4,-x+3/4,z+1/4'
'x+1/2,y+1/2,z+1/2'
'-x+1/2,-y+1/2,-z+1/2'
'-y+3/4,x+1/4,z+3/4'
'y+3/4,-x+1/4,-z+3/4'
'-x,-y+1/2,z'
'x,y+1/2,-z'
'y+3/4,-x+3/4,z+1/4'
'-y+3/4,x+3/4,-z+1/4'
'x+1/2,-y+1/2,-z+1/2'
'-x+1/2,y+1/2,z+1/2'
'-y+3/4,-x+3/4,-z+1/4'
'y+3/4,x+3/4,z+1/4'
'-x,y+1/2,-z'
'x,-y+1/2,z'
'y+3/4,x+1/4,-z+3/4'
'-y+3/4,-x+1/4,z+3/4'
loop_
_atom_site_label
_atom_site_type_symbol
_atom_site_fract_x
_atom_site_fract_y
_atom_site_fract_z
K1 K 0.0000 0.0000 0.0000
P1 P 0.0000 0.2500 0.3750
Pt1 Pt 0.0000 0.2500 0.8750
```


Entry 7:
This record from Alexandria via LeMat-Bulk describes K2PPt2 at its PBEsol-relaxed geometry. The functional is SCAN.

```
data_K2PPt2
_symmetry_space_group_name_H-M 'I m m m'
_symmetry_Int_Tables_number 71
_symmetry_space_group_name_Hall '-I 2 2'
_cell_length_a 3.8350
_cell_length_b 5.4066
_cell_length_c 10.8335
_cell_angle_alpha 90.00
_cell_angle_beta 90.00
_cell_angle_gamma 90.00
loop_
_atom_site_label
_atom_site_type_symbol
_atom_site_fract_x
_atom_site_fract_y
_atom_site_fract_z
K1 K 0.0000 0.0000 0.2092
P1 P 0.0000 0.5000 0.0000
Pt1 Pt 0.0000 0.2508 0.5000
```


Entry 8:
This record from Alexandria via LeMat-Bulk describes KPPt2 at its PBEsol-relaxed geometry. The functional is SCAN.

```
data_KPPt2
_symmetry_space_group_name_H-M 'P 1 m 1'
_symmetry_Int_Tables_number 6
_cell_length_a 3.9779
_cell_length_b 3.9778
_cell_length_c 5.7178
_cell_angle_alpha 90.00
_cell_angle_beta 90.06
_cell_angle_gamma 90.00
loop_
_symmetry_equiv_pos_as_xyz
'x,y,z'
'x,-y,z'
loop_
_atom_site_label
_atom_site_type_symbol
_atom_site_fract_x
_atom_site_fract_y
_atom_site_fract_z
K1 K 0.0000 0.0000 0.0000
P1 P 0.5006 0.5000 0.3340
Pt1 Pt 0.0009 0.5000 0.5231
Pt2 Pt 0.5009 0.0000 0.5231
```


Entry 9:
This record from Alexandria via LeMat-Bulk describes KTcPPt2 at its PBEsol-relaxed geometry. The functional is SCAN.

```
data_KTcPPt2
_symmetry_space_group_name_H-M 'P 4/m m m'
_symmetry_Int_Tables_number 123
_symmetry_space_group_name_Hall '-P 4 2'
_cell_length_a 4.7089
_cell_length_b 4.7089
_cell_length_c 5.1511
_cell_angle_alpha 90.00
_cell_angle_beta 90.00
_cell_angle_gamma 90.00
loop_
_atom_site_label
_atom_site_type_symbol
_atom_site_fract_x
_atom_site_fract_y
_atom_site_fract_z
K1 K 0.0000 0.0000 0.0000
Tc1 Tc 0.0000 0.0000 0.5000
P1 P 0.5000 0.5000 0.0000
Pt1 Pt 0.0000 0.5000 0.5000
```


Entry 10:
This record from Alexandria via LeMat-Bulk describes KRb3P at its PBEsol-relaxed geometry. The functional is SCAN.

```
data_KRb3P
_symmetry_space_group_name_H-M 'P m -3 m'
_symmetry_Int_Tables_number 221
_symmetry_space_group_name_Hall '-P 4 2 3'
_cell_length_a 6.6891
_cell_length_b 6.6891
_cell_length_c 6.6891
_cell_angle_alpha 90.00
_cell_angle_beta 90.00
_cell_angle_gamma 90.00
loop_
_atom_site_label
_atom_site_type_symbol
_atom_site_fract_x
_atom_site_fract_y
_atom_site_fract_z
K1 K 0.0000 0.0000 0.0000
Rb1 Rb 0.0000 0.5000 0.5000
P1 P 0.5000 0.5000 0.5000
```


Entry 11:
This record from Alexandria via LeMat-Bulk describes KRe2P at its PBEsol-relaxed geometry. The functional is SCAN.

```
data_KRe2P
_symmetry_space_group_name_H-M 'C 1 m 1'
_symmetry_Int_Tables_number 8
_cell_length_a 8.2456
_cell_length_b 2.9220
_cell_length_c 6.9499
_cell_angle_alpha 90.00
_cell_angle_beta 96.54
_cell_angle_gamma 90.00
loop_
_symmetry_equiv_pos_as_xyz
'x,y,z'
'x,-y,z'
'x+1/2,y+1/2,z'
'x+1/2,-y+1/2,z'
loop_
_atom_site_label
_atom_site_type_symbol
_atom_site_fract_x
_atom_site_fract_y
_atom_site_fract_z
K1 K 0.0000 0.0000 0.0000
Re1 Re 0.0183 0.5000 0.5204
Re2 Re 0.2754 0.5000 0.3836
P1 P 0.2398 0.0000 0.6678
```

Calculated values
polymorph energy (0 for the lowest one): 0 meV/atom


Entry 12:
This record from Alexandria via LeMat-Bulk describes KRe2P at its PBEsol-relaxed geometry. The functional is SCAN.

```
data_KRe2P
_symmetry_space_group_name_H-M 'R -3 m'
_symmetry_Int_Tables_number 166
_symmetry_space_group_name_Hall '-R 3 2"'
_cell_length_a 2.8570
_cell_length_b 2.8570
_cell_length_c 28.2927
_cell_angle_alpha 90.00
_cell_angle_beta 90.00
_cell_angle_gamma 120.00
loop_
_atom_site_label
_atom_site_type_symbol
_atom_site_fract_x
_atom_site_fract_y
_atom_site_fract_z
K1 K 0.0000 0.0000 0.0000
Re1 Re 0.0000 0.0000 0.2294
P1 P 0.0000 0.0000 0.5000
```

Calculated values
polymorph energy (0 for the lowest one): 183 meV/atom


Number 1: total energy -28.28 eV per atom, theoretical density 6.3 g/cm3. Number 2: total energy -30.31 eV per atom, theoretical density 6.3 g/cm3. Number 3: total energy -24.97 eV per atom, theoretical density 4.2 g/cm3. Number 4: total energy -39.26 eV per atom, theoretical density 11.3 g/cm3. Number 5: total energy -39.32 eV per atom, theoretical density 11.4 g/cm3. Number 6: total energy -24.84 eV per atom, theoretical density 3.0 g/cm3. Number 7: total energy -33.98 eV per atom, theoretical density 7.4 g/cm3. Number 8: total energy -40.39 eV per atom, theoretical density 8.4 g/cm3. Number 9: total energy -37.32 eV per atom, theoretical density 8.1 g/cm3. Number 10: total energy -16.24 eV per atom, theoretical density 1.8 g/cm3. Number 11: total energy -39.79 eV per atom, theoretical density 8.8 g/cm3. Number 12: total energy -39.61 eV per atom, theoretical density 11.0 g/cm3.